This record from Alexandria via LeMat-Bulk describes a geometry-optimized RbNiAgBi2 structure. The functional is PBE-GGA.

a b c (Å): 6.1883 6.1883 4.6433
angles (deg): 90.00 90.00 90.00
Closest atoms and distances in Å follow each position.
Fractional positions:
1 Rb 0.0000 0.0000 0.0000  2 Ni 2.32
2 Ni 0.0000 0.0000 0.5000  2 Rb 2.32
3 Ag 0.5000 0.5000 0.5000  8 Bi 3.87
4 Bi 0.0000 0.5000 0.0000  2 Rb 3.09
5 Bi 0.5000 0.0000 0.0000  2 Rb 3.09

Results
Raw total energy ... -1.865 eV per atom
Volume ... 35.564 Å³/atom